DFT (PBE) results for crystalline Ti4HgBi at its relaxed geometry.

```
data_Ti4HgBi
_symmetry_space_group_name_H-M 'P 1'
_symmetry_Int_Tables_number 1
_cell_length_a 4.701
_cell_length_b 8.636
_cell_length_c 5.713
_cell_angle_alpha 90.00
_cell_angle_beta 90.00
_cell_angle_gamma 90.00
loop_
_symmetry_equiv_pos_as_xyz
'x,y,z'
loop_
_atom_site_label
_atom_site_type_symbol
_atom_site_fract_x
_atom_site_fract_y
_atom_site_fract_z
_atom_site_occupancy
Hg1 Hg 0.750 0.558 0.750 1
Hg2 Hg 0.250 0.442 0.250 1
Ti1 Ti 0.250 0.083 0.750 1
Ti2 Ti 0.750 0.251 0.513 1
Ti3 Ti 0.250 0.749 0.013 1
Ti4 Ti 0.750 0.917 0.250 1
Ti5 Ti 0.250 0.749 0.487 1
Ti6 Ti 0.750 0.602 0.250 1
Ti7 Ti 0.750 0.251 0.987 1
Ti8 Ti 0.250 0.398 0.750 1
Bi1 Bi 0.250 0.098 0.250 1
Bi2 Bi 0.750 0.902 0.750 1
```

Magnetization ... 0.00 μB per formula unit
Total energy ... -71.1 eV/cell
Theoretical density ... 8.606 g cm⁻³
Space group ... Pmmn
N(E_F) ... 8.1 states/eV/cell
ΔH_f (0 K) ... 32 meV per atom